# 1
First-principles (PBE) data for a relaxed structure of Ca2ScF, as listed in the Alexandria database.

Computed properties:
**Energy above the most stable polymorph in this dataset**: 0 meV per atom
**Fermi-level density of states**: 1.6692 states/eV per atom
**Formation energy from raw total energies**: -1.090 eV/atom
**Density**: 2.061 g cm⁻³
**Final energy**: -66.26 eV for the cell shown
**Calculated volume**: 29.03 A^3/atom

abc: 7.1823 7.1823 9.0041
angles: 90.00 90.00 90.00
Space group I-42d (No. 122)
Symmetry-distinct sites (fractional):
1 Ca 0.1080 0.2500 0.1250 x8
2 Sc 0.0000 0.0000 0.5000 x4
3 F 0.0000 0.0000 0.0000 x4

# 2
First-principles (PBE) data for a relaxed structure of La2NdCu2, as listed in the Alexandria database.

Computed properties:
**Energy above the most stable polymorph in this dataset**: 7 meV per atom
**Fermi-level density of states**: 0.9475 states/eV per atom
**Density**: 6.735 g cm⁻³
**Final energy**: -46.31 eV for the cell shown
**Calculated volume**: 27.08 A^3/atom

abc: 3.9951 4.8426 14.1358
angles: 90.00 98.05 90.00
Space group P2_1/m (No. 11)
Symmetry-distinct sites (fractional):
1 La 0.0532 0.2500 0.1070 x2
2 La 0.2662 0.7500 0.5350 x2
3 Nd 0.3647 0.2500 0.7273 x2
4 Cu 0.1586 0.2500 0.3162 x2
5 Cu 0.4749 0.2500 0.9474 x2

# 3
First-principles (PBE) data for a relaxed structure of Tb6Pm3Y2, as listed in the Alexandria database.

Computed properties:
**Energy above the most stable polymorph in this dataset**: 0 meV per atom
**Fermi-level density of states**: 1.3438 states/eV per atom
**Density**: 7.247 g cm⁻³
**Final energy**: -54.81 eV for the cell shown
**Calculated volume**: 32.63 A^3/atom

abc: 6.2016 8.0054 8.0351
angles: 107.43 104.73 97.41
Space group P-1 (No. 2)
Symmetry-distinct sites (fractional):
1 Tb 0.0454 0.4081 0.1806 x2
2 Tb 0.2265 0.0454 0.9096 x2
3 Tb 0.3181 0.8638 0.2716 x2
4 Pm 0.1363 0.2264 0.5460 x2
5 Pm 0.5000 0.5000 0.0000 x1
6 Y 0.4087 0.6825 0.6366 x2

# 4
First-principles (PBE) data for a relaxed structure of Mg3GaCl, as listed in the Alexandria database.

Computed properties:
**Energy above the most stable polymorph in this dataset**: 393 meV per atom
**Fermi-level density of states**: 0.5500 states/eV per atom
**Formation energy from raw total energies**: 0.114 eV/atom
**Density**: 2.399 g cm⁻³
**Final energy**: -9.09 eV for the cell shown
**Calculated volume**: 24.66 A^3/atom

abc: 4.9770 4.9770 4.9770
angles: 90.00 90.00 90.00
Space group Pm-3m (No. 221)
Symmetry-distinct sites (fractional):
1 Mg 0.0000 0.0000 0.5000 x3
2 Ga 0.5000 0.5000 0.5000 x1
3 Cl 0.0000 0.0000 0.0000 x1